Entry w
The following is a GGA-PBE calculation of a relaxed PmErSe3 crystal, from Alexandria via LeMat-Bulk.

It has space group Pnma (No. 62), with a = 7.7034 Å, b = 4.1128 Å, c = 16.0414 Å, α = 90.00°, β = 90.00° and γ = 90.00°. Symmetry generates all atoms from Pm at (0.1403, 0.2500, 0.2009), Er at (0.2289, 0.7500, 0.4576), Se at (0.0090, 0.2500, 0.3945), Se at (0.1218, 0.7500, 0.0627) and Se at (0.1520, 0.2500, 0.7848).

The calculation puts the spin magnetization at 0.000 μB per cell.

Entry x
The following is a GGA-PBE calculation of a relaxed PmErSe3 crystal, from Alexandria via LeMat-Bulk.

It has space group C2/m (No. 12), with a = 14.8685 Å, b = 4.0516 Å, c = 9.0453 Å, α = 90.00°, β = 93.60° and γ = 90.00°. Symmetry generates all atoms from Pm at (0.1134, 0.0000, 0.0851), Er at (0.1742, 0.5000, 0.6340), Se at (0.0362, 0.5000, 0.8369), Se at (0.1365, 0.0000, 0.4294) and Se at (0.2441, 0.0000, 0.8395).

The calculation puts the spin magnetization at 0.000 μB per cell. The density of states at the Fermi level is 0.00 states/eV/f.u.

Energies relative to the minimum, kJ/mol of atoms: entry w 0.0; entry x 3.2

Entry w
The following is a GGA-PBE calculation of a relaxed PmEr4Se5 crystal, from Alexandria via LeMat-Bulk.

It has space group Immm (No. 71), with a = 4.0625 Å, b = 5.7458 Å, c = 20.4213 Å, α = 90.00°, β = 90.00° and γ = 90.00°. Symmetry generates all atoms from Pm at (0.0000, 0.0000, 0.0000), Er at (0.0000, 0.0000, 0.2027), Er at (0.0000, 0.0000, 0.4012), Se at (0.0000, 0.5000, 0.0000), Se at (0.0000, 0.5000, 0.1984) and Se at (0.0000, 0.5000, 0.3945).

The calculation puts the spin magnetization at 0.000 μB per cell. The density of states at the Fermi level is 4.89 states/eV/f.u.

Entry x
The following is a GGA-PBE calculation of a relaxed PmEr4Se5 crystal, from Alexandria via LeMat-Bulk.

It has space group R-3m (No. 166, hexagonal axes), with a = 4.0645 Å, b = 4.0645 Å, c = 49.9557 Å, α = 90.00°, β = 90.00° and γ = 120.00°. Symmetry generates all atoms from Pm at (0.0000, 0.0000, 0.0000), Er at (0.0000, 0.0000, 0.1991), Er at (0.0000, 0.0000, 0.4016), Se at (0.0000, 0.0000, 0.1013), Se at (0.0000, 0.0000, 0.2970) and Se at (0.0000, 0.0000, 0.5000).

The calculation puts the spin magnetization at 0.000 μB per cell. The density of states at the Fermi level is 5.20 states/eV/f.u.

Energies relative to the minimum, kJ/mol of atoms: entry w 0.8; entry x 0.0